First-principles (meta-GGA SCAN) data for a PBEsol-optimized structure of SbRhW2, as listed in Alexandria.

The density of states at the Fermi level comes out at 0.880 states/eV/atom. As for the calculated density: 15.31 g/cm³. For the energy relative to the elements, uncorrected, the calculation gives 154.0 kJ/mol of formula units.

Cell: 4.0362 4.0362 7.8867 Å, 90.00 90.00 90.00°
With the nearest neighbours (Å) after each atom.
Sites, in units of the cell vectors:
Sb (0.0000, 0.0000, 0.0000)  8 W 2.82-2.85, 4 Rh 2.82
Sb (0.5000, 0.5000, 0.5000)  8 W 2.82-2.85, 4 Rh 2.82
Rh (0.0000, 0.5000, 0.7500)  8 W 2.82-2.85, 4 Sb 2.82
Rh (0.5000, 0.0000, 0.2500)  4 Sb 2.82, 8 W 2.82-2.85
W (0.0000, 0.0000, 0.5000)  4 W 2.82, 4 Rh 2.82, 4 Sb 2.85
W (0.0000, 0.5000, 0.2500)  4 Sb 2.82, 4 W 2.82, 4 Rh 2.85
W (0.5000, 0.0000, 0.7500)  4 W 2.82, 4 Sb 2.82, 4 Rh 2.85
W (0.5000, 0.5000, 0.0000)  4 W 2.82, 4 Rh 2.82, 4 Sb 2.85

***

First-principles (meta-GGA SCAN) data for a PBEsol-optimized structure of ScTc2Se, as listed in Alexandria.

The density of states at the Fermi level comes out at 0.768 states/eV/atom. As for the calculated density: 8.27 g/cm³. For the energy relative to the elements, uncorrected, the calculation gives 32.6 kJ/mol of formula units.

Cell: 3.0040 4.2088 5.0822 Å, 90.00 90.00 90.00°
With the nearest neighbours (Å) after each atom.
Sites, in units of the cell vectors:
Sc (0.0000, 0.0000, 0.0000)  2 Se 2.54
Tc (0.5000, 0.5000, 0.2731)  1 Tc 2.31
Tc (0.5000, 0.5000, 0.7269)  1 Tc 2.31
Se (0.0000, 0.0000, 0.5000)  2 Sc 2.54, 8 Tc 2.83

***

First-principles (meta-GGA SCAN) data for a PBEsol-optimized structure of K2CoIr, as listed in Alexandria.

The density of states at the Fermi level comes out at 0.683 states/eV/atom. As for the formation energy: 449 meV/atom. As for the calculated density: 5.20 g/cm³. The offset from the most stable computed form is 0.000 eV/atom.

Cell: 2.7811 3.8498 9.8158 Å, 90.00 90.85 90.00°
With the nearest neighbours (Å) after each atom.
Sites, in units of the cell vectors:
K (0.0000, 0.0000, 0.0000)  2 K 2.78, 1 Ir 3.06
K (0.3824, 0.5000, 0.5560)  2 K 2.78, 1 Co 3.01
Co (0.3932, 0.5000, 0.2496)  4 Ir 2.43-2.47
Ir (0.8838, 0.0000, 0.3092)  4 Co 2.43-2.47

***

First-principles (meta-GGA SCAN) data for a PBEsol-optimized structure of Fe2Tc, as listed in Alexandria.

The density of states at the Fermi level comes out at 0.800 states/eV/atom. As for the formation energy: 160 meV/atom. As for the calculated density: 10.08 g/cm³. The offset from the most stable computed form is 0.154 eV/atom.

Cell: 2.5512 3.5785 7.5696 Å, 90.00 90.00 90.00°
With the nearest neighbours (Å) after each atom.
Sites, in units of the cell vectors:
Fe (0.0000, 0.0000, 0.1693)  5 Tc 2.50-2.54, 7 Fe 2.51-2.56
Fe (0.0000, 0.0000, 0.8307)  5 Tc 2.50-2.54, 7 Fe 2.51-2.56
Fe (0.5000, 0.5000, 0.3307)  5 Tc 2.50-2.54, 7 Fe 2.51-2.56
Fe (0.5000, 0.5000, 0.6693)  5 Tc 2.50-2.54, 7 Fe 2.51-2.56
Tc (0.0000, 0.0000, 0.5000)  10 Fe 2.50-2.54, 2 Tc 2.55
Tc (0.5000, 0.5000, 0.0000)  10 Fe 2.50-2.54, 2 Tc 2.55